A plane-wave DFT calculation with PBE-GGA was carried out for a relaxed structure of InTeOs2.

```
InTeOs2
1.0
2.8643 0.0000 0.0000
0.0000 3.6138 0.0000
-0.0135 0.0000 7.9230
In Te Os
1 1 2
direct
0.0000 0.0000 0.0000
0.0000 0.5000 0.6508
0.0005 0.0000 0.3868
0.5001 0.5000 0.2346
```

Values from the calculation:
space-group type: Pm
formation energy without anion corrections: 0.40 eV/atom
offset from the most stable computed form: 0.000 eV/atom